Ac2Nd5Ho | the Alexandria database | PBE-GGA | optimized geometry; energy above the most stable polymorph in this dataset = 0.004 eV per atom; volume = 296 Å³ per cell; total magnetic moment = 0.00 μB per formula unit
1.0
5.2141 0.0000 -1.0111
-0.1961 5.2105 -1.0111
-0.5504 -0.5715 11.1111
Nd Ac Ho
5 2 1
Cartesian
4.1004 1.5506 7.1953 Nd
1.3953 4.1558 7.1953 Nd
3.0723 0.4831 1.8936 Nd
2.5090 2.6052 -1.0111 Nd
0.3672 3.0883 1.8936 Nd
3.4888 3.6225 4.0411 Ac
0.9789 1.0164 5.0477 Ac
0.0000 0.0000 0.0000 Ho